This record from the Alexandria database describes AcTaTe after structural relaxation. The functional is GGA-PBE.

Results
* space group: P4/nmm (129)
* E: -6.196 eV per atom

POSCAR file:
```
AcTaTe
1.0
-2.101 3.608 2.902
-4.418 -0.603 -2.449
0.166 -8.513 1.801
Ta Ac Te
2 2 2
Cartesian
-3.317 -7.161 -0.174
-3.036 1.652 2.428
-4.489 -1.198 0.467
-1.865 -4.311 1.787
-4.891 2.252 0.342
-1.463 -7.761 1.913
```